Entry from Alexandria: crystalline ThScCl at its relaxed geometry (PBE).

Formation energy from raw total energies in eV/atom: -0.770
Total magnetization in μB per formula unit: 0.00
D(E_F) in states/eV per cell: 2.30
Excess energy over the best structure of this formula in the dataset in eV per atom: 0.000
ρ in kg/m³: 6741
Energy in eV/atom: -5.969

Structure (POSCAR):
```
ThScCl
1.0
-2.477 -2.333 -0.571
2.826 -0.883 1.771
-3.358 2.008 6.358
Th Cl Sc
1 1 1
Direct
0.000 0.000 0.012
0.333 0.667 0.614
0.667 0.333 0.374
```


Entry from Alexandria: crystalline ThScCl at its relaxed geometry (PBE).

Formation energy from raw total energies in eV/atom: -0.435
Total magnetization in μB per formula unit: 0.00
D(E_F) in states/eV per cell: 7.89
Excess energy over the best structure of this formula in the dataset in eV per atom: 0.335
ρ in kg/m³: 6038
Energy in eV/atom: -5.634

Structure (POSCAR):
```
ThScCl
1.0
4.884 -0.044 0.884
2.402 4.253 0.884
3.420 1.976 9.062
Cl Th Sc
2 2 2
Direct
0.292 0.292 0.031
0.461 0.461 0.277
0.029 0.029 0.424
0.724 0.724 0.883
0.220 0.220 0.638
0.533 0.533 0.670
```


Entry from Alexandria: crystalline ScTi3Cl at its relaxed geometry (PBE).

Formation energy from raw total energies in eV/atom: -0.095
Total magnetization in μB per formula unit: 0.00
D(E_F) in states/eV per cell: 6.13
Excess energy over the best structure of this formula in the dataset in eV per atom: 0.000
ρ in kg/m³: 3974
Energy in eV/atom: -6.468

Structure (POSCAR):
```
ScTi3Cl
1.0
4.540 0.000 0.000
0.000 4.540 0.000
0.000 0.000 4.540
Cl Sc Ti
1 1 3
Direct
0.000 0.000 0.000
0.500 0.500 0.500
0.500 0.000 0.000
0.000 0.500 0.000
0.000 0.000 0.500
```


Entry from Alexandria: crystalline ScTiCl2 at its relaxed geometry (PBE).

Formation energy from raw total energies in eV/atom: -0.510
Total magnetization in μB per formula unit: 0.66
D(E_F) in states/eV per cell: 4.99
Excess energy over the best structure of this formula in the dataset in eV per atom: 0.355
ρ in kg/m³: 4158
Energy in eV/atom: -4.990

Structure (POSCAR):
```
ScTiCl2
1.0
2.846 -3.320 1.151
-1.453 -3.441 2.550
-0.475 -4.115 -1.813
Cl Sc Ti
2 1 1
Direct
0.250 0.250 0.250
0.750 0.750 0.750
0.000 0.000 0.000
0.500 0.500 0.500
```


Entry from Alexandria: crystalline ScTi3Cl at its relaxed geometry (PBE).

Formation energy from raw total energies in eV/atom: 1.304
Total magnetization in μB per formula unit: 2.40
D(E_F) in states/eV per cell: 5.99
Excess energy over the best structure of this formula in the dataset in eV per atom: 1.399
ρ in kg/m³: 3145
Energy in eV/atom: -5.069

Structure (POSCAR):
```
ScTi3Cl
1.0
4.908 0.000 0.000
0.000 4.908 0.000
0.000 0.000 4.908
Ti Cl Sc
3 1 1
Direct
0.000 0.000 0.500
0.500 0.000 0.000
0.000 0.500 0.000
0.500 0.500 0.500
0.000 0.000 0.000
```


Entry from Alexandria: crystalline ScTi2Cl at its relaxed geometry (PBE).

Formation energy from raw total energies in eV/atom: 0.560
Total magnetization in μB per formula unit: 2.51
D(E_F) in states/eV per cell: 4.56
Excess energy over the best structure of this formula in the dataset in eV per atom: 0.529
ρ in kg/m³: 3866
Energy in eV/atom: -5.432

Structure (POSCAR):
```
ScTi2Cl
1.0
0.000 3.357 3.357
3.357 0.000 3.357
3.357 3.357 0.000
Ti Sc Cl
2 1 1
Direct
0.250 0.250 0.250
0.750 0.750 0.750
0.500 0.500 0.500
0.000 0.000 0.000
```


Entry from Alexandria: crystalline ScTi2Cl8 at its relaxed geometry (PBE).

Formation energy from raw total energies in eV/atom: -1.591
Total magnetization in μB per formula unit: 0.95
D(E_F) in states/eV per cell: 6.63
ρ in kg/m³: 1935
Energy in eV/atom: -4.945

Structure (POSCAR):
```
ScTi2Cl8
1.0
-5.475 0.378 2.502
3.198 -0.889 7.137
1.512 7.406 2.195
Cl Sc Ti
8 1 2
Direct
0.224 0.902 0.278
0.264 0.832 0.832
0.224 0.278 0.902
0.742 0.641 0.641
0.736 0.168 0.168
0.776 0.098 0.722
0.258 0.359 0.359
0.776 0.722 0.098
0.000 0.000 0.000
0.349 0.185 0.185
0.651 0.815 0.815
```


Entry from Alexandria: crystalline ScTi2Cl6 at its relaxed geometry (PBE).

Formation energy from raw total energies in eV/atom: -1.477
Total magnetization in μB per formula unit: 2.70
D(E_F) in states/eV per cell: 7.75
ρ in kg/m³: 2976
Energy in eV/atom: -5.166

Structure (POSCAR):
```
ScTi2Cl6
1.0
6.096 -0.390 -0.377
1.196 7.975 0.068
1.196 0.327 7.969
Ti Sc Cl
4 2 12
Direct
0.494 0.695 0.835
0.994 0.835 0.695
0.506 0.305 0.165
0.006 0.165 0.305
0.750 0.923 0.077
0.250 0.077 0.923
0.122 0.118 0.621
0.837 0.569 0.712
0.622 0.621 0.118
0.878 0.882 0.379
0.876 0.225 0.018
0.163 0.431 0.288
0.624 0.982 0.775
0.663 0.288 0.431
0.124 0.775 0.982
0.378 0.379 0.882
0.337 0.712 0.569
0.376 0.018 0.225
```


Entry from Alexandria: crystalline ScTiCl2 at its relaxed geometry (PBE).

Formation energy from raw total energies in eV/atom: -0.865
Total magnetization in μB per formula unit: 1.15
D(E_F) in states/eV per cell: 3.48
Excess energy over the best structure of this formula in the dataset in eV per atom: 0.000
ρ in kg/m³: 3422
Energy in eV/atom: -5.345

Structure (POSCAR):
```
ScTiCl2
1.0
1.883 0.000 8.628
-0.941 1.630 8.628
-0.941 -1.630 8.628
Cl Ti Sc
2 1 1
Direct
0.097 0.097 0.097
0.903 0.903 0.903
0.000 0.000 0.000
0.500 0.500 0.500
```


Entry from Alexandria: crystalline ScTiCl3 at its relaxed geometry (PBE).

Formation energy from raw total energies in eV/atom: -0.757
Total magnetization in μB per formula unit: 3.91
D(E_F) in states/eV per cell: 6.96
Excess energy over the best structure of this formula in the dataset in eV per atom: 0.000
ρ in kg/m³: 2616
Energy in eV/atom: -4.710

Structure (POSCAR):
```
ScTiCl3
1.0
5.019 0.000 0.000
0.000 5.019 0.000
0.000 0.000 5.019
Cl Sc Ti
3 1 1
Direct
0.000 0.000 0.500
0.000 0.500 0.000
0.500 0.000 0.000
0.000 0.000 0.000
0.500 0.500 0.500
```


Entry from Alexandria: crystalline ScTiCl3 at its relaxed geometry (PBE).

Formation energy from raw total energies in eV/atom: -0.745
Total magnetization in μB per formula unit: 3.94
D(E_F) in states/eV per cell: 4.42
Excess energy over the best structure of this formula in the dataset in eV per atom: 0.012
ρ in kg/m³: 2767
Energy in eV/atom: -4.698

Structure (POSCAR):
```
ScTiCl3
1.0
-4.012 0.550 -2.805
2.183 -2.531 -3.619
-1.846 -4.190 1.817
Cl Sc Ti
3 1 1
Direct
0.000 0.500 0.000
0.500 0.000 0.000
0.000 0.000 0.500
0.500 0.500 0.500
0.000 0.000 0.000
```


Entry from Alexandria: crystalline ScTi2Cl at its relaxed geometry (PBE).

Formation energy from raw total energies in eV/atom: 0.031
Total magnetization in μB per formula unit: 0.00
D(E_F) in states/eV per cell: 11.31
Excess energy over the best structure of this formula in the dataset in eV per atom: 0.000
ρ in kg/m³: 3813
Energy in eV/atom: -5.961

Structure (POSCAR):
```
ScTi2Cl
1.0
-1.884 2.399 -2.077
-2.330 -2.686 -0.989
-8.682 2.315 7.274
Sc Ti Cl
2 4 2
Direct
0.750 0.250 0.500
0.000 0.000 0.000
0.375 0.371 0.750
0.875 0.879 0.750
0.629 0.125 0.250
0.121 0.625 0.250
0.250 0.750 0.500
0.500 0.500 0.000
```


Entry from Alexandria: crystalline ScTiTlCl6 at its relaxed geometry (PBE).

Formation energy from raw total energies in eV/atom: -1.638
Total magnetization in μB per formula unit: 2.00
D(E_F) in states/eV per cell: 18.21
ρ in kg/m³: 3185
Energy in eV/atom: -4.712

Structure (POSCAR):
```
ScTiTlCl6
1.0
6.435 0.000 0.000
-3.218 5.573 0.000
0.000 0.000 14.824
Cl Ti Tl Sc
12 2 2 2
Direct
0.636 0.638 0.652
0.364 0.002 0.152
0.638 0.636 0.152
0.998 0.636 0.348
0.998 0.362 0.152
0.636 0.998 0.848
0.002 0.364 0.652
0.362 0.998 0.652
0.002 0.638 0.848
0.638 0.002 0.348
0.364 0.362 0.348
0.362 0.364 0.848
0.667 0.333 0.250
0.333 0.667 0.750
0.000 0.000 0.000
0.000 0.000 0.500
0.333 0.667 0.250
0.667 0.333 0.750
```


Entry from Alexandria: crystalline ScTl4Cl7 at its relaxed geometry (PBE).

Formation energy from raw total energies in eV/atom: -1.380
Total magnetization in μB per formula unit: 0.00
D(E_F) in states/eV per cell: 0.00
ρ in kg/m³: 4679
Energy in eV/atom: -3.773

Structure (POSCAR):
```
ScTl4Cl7
1.0
-2.296 2.843 -3.433
-6.580 -3.610 1.412
2.724 7.623 8.153
Cl Tl Sc
7 4 1
Direct
0.500 0.000 0.000
0.280 0.230 0.560
0.896 0.709 0.792
0.104 0.291 0.208
0.936 0.201 0.872
0.064 0.799 0.128
0.720 0.770 0.440
0.417 0.477 0.835
0.690 0.131 0.380
0.583 0.523 0.165
0.310 0.869 0.620
0.000 0.000 0.000
```


Entry from Alexandria: crystalline Sc2Tl2Cl7 at its relaxed geometry (PBE).

Formation energy from raw total energies in eV/atom: -1.591
Total magnetization in μB per formula unit: 1.05
D(E_F) in states/eV per cell: 4.28
ρ in kg/m³: 4025
Energy in eV/atom: -4.348

Structure (POSCAR):
```
Sc2Tl2Cl7
1.0
6.959 -0.198 -0.253
-0.286 6.274 2.798
-0.332 -0.507 6.849
Cl Sc Tl
7 2 2
Direct
0.773 0.064 0.495
0.773 0.495 0.064
0.215 0.438 0.438
0.000 0.000 0.000
0.227 0.505 0.936
0.227 0.936 0.505
0.785 0.562 0.562
0.960 0.763 0.763
0.040 0.237 0.237
0.500 0.225 0.775
0.500 0.775 0.225
```


Entry from Alexandria: crystalline Sc2Tl5Cl12 at its relaxed geometry (PBE).

Formation energy from raw total energies in eV/atom: -1.403
Total magnetization in μB per formula unit: 0.00
D(E_F) in states/eV per cell: 10.99
ρ in kg/m³: 4104
Energy in eV/atom: -3.859

Structure (POSCAR):
```
Sc2Tl5Cl12
1.0
-6.635 -4.188 -3.729
-0.727 -7.107 6.176
-7.678 1.425 3.577
Cl Tl Sc
12 5 2
Direct
0.175 0.914 0.868
0.137 0.930 0.291
0.125 0.593 0.178
0.250 0.226 0.511
0.669 0.362 0.478
0.235 0.260 0.924
0.875 0.407 0.822
0.863 0.070 0.709
0.825 0.086 0.132
0.765 0.740 0.076
0.331 0.638 0.522
0.750 0.774 0.489
0.506 0.470 0.237
0.500 0.000 0.000
0.009 0.257 0.327
0.494 0.530 0.763
0.991 0.743 0.673
0.959 0.824 0.183
0.041 0.176 0.817
```


Entry from Alexandria: crystalline ScTlCl at its relaxed geometry (PBE).

Formation energy from raw total energies in eV/atom: -0.154
Total magnetization in μB per formula unit: 0.00
D(E_F) in states/eV per cell: 5.04
Excess energy over the best structure of this formula in the dataset in eV per atom: 0.704
ρ in kg/m³: 5811
Energy in eV/atom: -3.669

Structure (POSCAR):
```
ScTlCl
1.0
4.864 0.000 0.000
2.432 4.212 0.000
2.432 1.404 3.972
Sc Tl Cl
1 1 1
Direct
0.750 0.750 0.750
0.000 0.000 0.000
0.500 0.500 0.500
```


Entry from Alexandria: crystalline ScTlCl at its relaxed geometry (PBE).

Formation energy from raw total energies in eV/atom: -0.112
Total magnetization in μB per formula unit: 0.03
D(E_F) in states/eV per cell: 3.47
Excess energy over the best structure of this formula in the dataset in eV per atom: 0.746
ρ in kg/m³: 6024
Energy in eV/atom: -3.627

Structure (POSCAR):
```
ScTlCl
1.0
4.806 0.000 0.000
2.403 4.162 0.000
2.403 1.387 3.924
Tl Cl Sc
1 1 1
Direct
0.500 0.500 0.500
0.750 0.750 0.750
0.000 0.000 0.000
```


Entry from Alexandria: crystalline ScTlCl at its relaxed geometry (PBE).

Formation energy from raw total energies in eV/atom: -0.757
Total magnetization in μB per formula unit: 0.00
D(E_F) in states/eV per cell: 2.67
Excess energy over the best structure of this formula in the dataset in eV per atom: 0.101
ρ in kg/m³: 6596
Energy in eV/atom: -4.272

Structure (POSCAR):
```
ScTlCl
1.0
-0.589 1.609 3.862
-1.494 -3.724 1.324
7.430 -2.245 2.068
Sc Tl Cl
2 2 2
Direct
0.500 0.000 0.203
0.000 0.500 0.797
0.000 0.500 0.413
0.500 0.000 0.587
0.000 0.000 0.000
0.500 0.500 0.000
```


Entry from Alexandria: crystalline Sc3TlCl at its relaxed geometry (PBE).

Formation energy from raw total energies in eV/atom: 0.352
Total magnetization in μB per formula unit: 2.59
D(E_F) in states/eV per cell: 6.69
Excess energy over the best structure of this formula in the dataset in eV per atom: 0.804
ρ in kg/m³: 3790
Energy in eV/atom: -4.290

Structure (POSCAR):
```
Sc3TlCl
1.0
5.476 0.000 0.000
0.000 5.476 0.000
0.000 0.000 5.476
Sc Tl Cl
3 1 1
Direct
0.500 0.000 0.000
0.000 0.500 0.000
0.000 0.000 0.500
0.000 0.000 0.000
0.500 0.500 0.500
```